No. 1
Entry from Alexandria via LeMat-Bulk: an optimized crystal structure of TbPm3Mg (PBE).

Output
**Space group**: No. 12
**Calculated density**: 6.46 Mg/m³
**M_tot**: 0.0 μB/cell
**Density of states at the Fermi level**: 12.22 states/eV/cell
**Offset from the most stable computed form**: 0.0 kJ per mole of atoms

Cell: 3.7476 8.8500 10.0642 Å, 76.13 100.73 90.00°
Sites, in units of the cell vectors:
1 Pm 0.0032 0.7332 0.0064
2 Tb 0.2045 0.1732 0.4090
3 Tb 0.7955 0.8268 0.5910
4 Pm 0.3968 0.0421 0.7936
5 Pm 0.1868 0.6220 0.3735
6 Pm 0.8132 0.3780 0.6265
7 Mg 0.4054 0.5660 0.8108
8 Mg 0.5946 0.4340 0.1892
9 Pm 0.9968 0.2668 0.9936
10 Pm 0.6032 0.9579 0.2064

---

No. 2
Entry from Alexandria via LeMat-Bulk: an optimized crystal structure of MnC5 (PBE).

Output
**Space group**: No. 216
**Calculated density**: 3.69 Mg/m³
**M_tot**: 3.4 μB/cell
**Density of states at the Fermi level**: 3.64 states/eV/cell
**Offset from the most stable computed form**: 197.8 kJ per mole of atoms

Cell: 4.1841 4.1841 4.1841 Å, 60.00 60.00 60.00°
Sites, in units of the cell vectors:
1 C 0.5935 0.5935 0.2196
2 C 0.2500 0.2500 0.2500
3 Mn 0.0000 0.0000 0.0000
4 C 0.5935 0.2196 0.5935
5 C 0.2196 0.5935 0.5935
6 C 0.5935 0.5935 0.5935

---

No. 3
Entry from Alexandria via LeMat-Bulk: an optimized crystal structure of TiTcAsBr2 (PBE).

Output
**Space group**: No. 123
**ΔE_f (raw)**: 0.51 eV/atom
**Calculated density**: 4.96 Mg/m³
**M_tot**: 4.9 μB/cell
**Density of states at the Fermi level**: 3.44 states/eV/cell
**Offset from the most stable computed form**: 0.0 kJ per mole of atoms

Cell: 4.9385 4.9385 5.2265 Å, 90.00 90.00 90.00°
Sites, in units of the cell vectors:
1 As 0.0000 0.0000 0.5000
2 Tc 0.5000 0.5000 0.5000
3 Br 0.5000 0.0000 0.0000
4 Br 0.0000 0.5000 0.0000
5 Ti 0.0000 0.0000 0.0000

---

No. 4
Entry from Alexandria via LeMat-Bulk: an optimized crystal structure of Na4ZnGa3O8 (PBE).

Output
**Space group**: No. 166
**ΔE_f (raw)**: -1.65 eV/atom
**Calculated density**: 4.74 Mg/m³
**M_tot**: 1.0 μB/cell
**Density of states at the Fermi level**: 3.44 states/eV/cell

Cell: 6.0806 6.4490 6.0807 Å, 118.13 120.00 90.00°
Sites, in units of the cell vectors:
1 O 0.2759 0.3003 0.0381
2 O 0.7241 0.6997 0.9619
3 O 0.7621 0.3003 0.0381
4 O 0.2379 0.6998 0.4757
5 Ga 0.5000 0.5000 0.5000
6 O 0.2666 0.2998 0.5332
7 Na 0.0000 0.0000 0.5000
8 Na 0.5000 0.0000 0.5000
9 Ga 0.5000 0.5000 0.0000
10 O 0.2379 0.6997 0.9619
11 O 0.7621 0.3002 0.5243
12 Zn 0.0000 0.5000 0.0000
13 Ga 0.0000 0.5000 0.5000
14 O 0.7334 0.7002 0.4668
15 Na 0.0000 0.0000 0.0000
16 Na 0.5000 0.0000 0.0000

---

No. 5
Entry from Alexandria via LeMat-Bulk: an optimized crystal structure of Na2LiTaF (PBE).

Output
**Space group**: No. 123
**ΔE_f (raw)**: 0.20 eV/atom
**Calculated density**: 2.59 Mg/m³
**M_tot**: 2.7 μB/cell
**Density of states at the Fermi level**: 3.67 states/eV/cell
**Offset from the most stable computed form**: 0.0 kJ per mole of atoms

Cell: 6.3521 4.0165 6.3521 Å, 90.00 90.00 90.00°
Sites, in units of the cell vectors:
1 Li 0.5000 0.5000 0.5000
2 F 0.0000 0.5000 0.0000
3 Ta 0.0000 0.0000 0.0000
4 Na 0.0000 0.0000 0.5000
5 Na 0.5000 0.0000 0.0000

---

No. 6
Entry from Alexandria via LeMat-Bulk: an optimized crystal structure of Sc6TlCd (PBE).

Output
**Space group**: No. 12
**Calculated density**: 4.66 Mg/m³
**M_tot**: 0.0 μB/cell
**Density of states at the Fermi level**: 11.77 states/eV/cell
**Offset from the most stable computed form**: 27.6 kJ per mole of atoms

Cell: 5.1574 5.1574 8.6091 Å, 75.75 75.75 73.65°
Sites, in units of the cell vectors:
1 Sc 0.4418 0.9322 0.7037
2 Sc 0.6453 0.6453 0.0538
3 Sc 0.0678 0.5582 0.2963
4 Sc 0.5582 0.0678 0.2963
5 Sc 0.3547 0.3547 0.9462
6 Cd 0.0000 0.0000 0.0000
7 Tl 0.5000 0.5000 0.5000
8 Sc 0.9322 0.4418 0.7037

---

No. 7
Entry from Alexandria via LeMat-Bulk: an optimized crystal structure of La3Ge2Ir7 (PBE).

Output
**Space group**: No. 166
**Calculated density**: 14.09 Mg/m³
**M_tot**: 0.0 μB/cell
**Final energy**: -7.85 eV/atom
**Density of states at the Fermi level**: 9.34 states/eV/cell

Cell: 5.6093 5.6093 8.8614 Å, 71.55 71.55 60.00°
Sites, in units of the cell vectors:
1 Ir 0.5000 0.5000 0.5000
2 Ir 0.5794 0.0781 0.7632
3 La 0.8589 0.8589 0.4234
4 La 0.0000 0.0000 0.0000
5 Ir 0.5794 0.5794 0.7632
6 Ir 0.9219 0.4206 0.2368
7 Ge 0.3344 0.3344 0.9967
8 Ir 0.4206 0.4206 0.2368
9 La 0.1411 0.1411 0.5766
10 Ge 0.6656 0.6656 0.0033
11 Ir 0.4206 0.9219 0.2368
12 Ir 0.0781 0.5794 0.7632

---

No. 8
Entry from Alexandria via LeMat-Bulk: an optimized crystal structure of ZrFeRe5 (PBE).

Output
**Space group**: No. 62
**Calculated density**: 15.62 Mg/m³
**M_tot**: 5.1 μB/cell
**Final energy**: -11.19 eV/atom
**Density of states at the Fermi level**: 25.89 states/eV/cell

Cell: 5.2161 8.3063 10.5804 Å, 90.00 90.00 90.00°
Sites, in units of the cell vectors:
1 Re 0.9878 0.4314 0.1940
2 Re 0.7500 0.3186 0.7335
3 Re 0.2500 0.4180 0.4250
4 Zr 0.7500 0.2663 0.4390
5 Zr 0.7500 0.7663 0.0610
6 Fe 0.2500 0.8591 0.8459
7 Re 0.7500 0.3991 0.9778
8 Zr 0.2500 0.7337 0.5610
9 Re 0.5122 0.9314 0.3060
10 Re 0.2500 0.6009 0.0222
11 Re 0.2500 0.1814 0.2335
12 Re 0.5122 0.4314 0.1940
13 Re 0.7500 0.8991 0.5222
14 Re 0.0122 0.5686 0.8060
15 Re 0.7500 0.8186 0.7665
16 Fe 0.7500 0.1409 0.1541
17 Re 0.7500 0.0820 0.9250
18 Re 0.9878 0.9314 0.3060
19 Re 0.2500 0.9180 0.0750
20 Re 0.4878 0.5686 0.8060
21 Fe 0.7500 0.6409 0.3459
22 Fe 0.2500 0.3591 0.6541
23 Re 0.7500 0.5820 0.5750
24 Re 0.4878 0.0686 0.6940
25 Re 0.2500 0.6814 0.2665
26 Zr 0.2500 0.2337 0.9390
27 Re 0.0122 0.0686 0.6940
28 Re 0.2500 0.1009 0.4778